(1)
Below is a relaxed ZnSn2Sb2Pd7 crystal, with properties calculated at the PBE level.

Calculated values
V: 231.1 Å³/cell
VASP energy: -4.80 eV per atom
size of the total moment: 0.000 μB per atom

Lattice parameters (Å, degrees): 3.9301 3.9301 15.0690 94.84 94.84 89.50
Fractional coordinates of all 12 atoms:
Zn: 0.0000 0.0000 0.0000
Sn: 0.4187 0.4187 0.7456
Sn: 0.5813 0.5813 0.2544
Sb: 0.1437 0.1437 0.3914
Sb: 0.8563 0.8563 0.6086
Pd: 0.0418 0.5419 0.1316
Pd: 0.3272 0.3272 0.5640
Pd: 0.4581 0.9582 0.8684
Pd: 0.5000 0.5000 0.0000
Pd: 0.5419 0.0418 0.1316
Pd: 0.6728 0.6728 0.4360
Pd: 0.9582 0.4581 0.8684

(2)
Below is a relaxed Sr3Sb5Pd6 crystal, with properties calculated at the PBE level.

Calculated values
V: 651.6 Å³/cell
VASP energy: -4.84 eV per atom
size of the total moment: 0.000 μB per atom

Lattice parameters (Å, degrees): 4.5340 13.8405 10.3837 90.00 90.00 90.00
Fractional coordinates of all 28 atoms:
Sr: 0.2500 0.0780 0.2497
Sr: 0.2500 0.4220 0.2497
Sr: 0.2500 0.7500 0.2438
Sr: 0.7500 0.2500 0.7562
Sr: 0.7500 0.5780 0.7503
Sr: 0.7500 0.9220 0.7503
Sb: 0.2500 0.0789 0.8671
Sb: 0.2500 0.4211 0.8671
Sb: 0.2500 0.6271 0.5215
Sb: 0.2500 0.7500 0.8450
Sb: 0.2500 0.8729 0.5215
Sb: 0.7500 0.1271 0.4785
Sb: 0.7500 0.2500 0.1550
Sb: 0.7500 0.3729 0.4785
Sb: 0.7500 0.5789 0.1329
Sb: 0.7500 0.9211 0.1329
Pd: 0.2500 0.0621 0.6031
Pd: 0.2500 0.2500 0.0052
Pd: 0.2500 0.2500 0.4964
Pd: 0.2500 0.4379 0.6031
Pd: 0.2500 0.5937 0.9976
Pd: 0.2500 0.9063 0.9976
Pd: 0.7500 0.0937 0.0024
Pd: 0.7500 0.4063 0.0024
Pd: 0.7500 0.5621 0.3969
Pd: 0.7500 0.7500 0.5036
Pd: 0.7500 0.7500 0.9948
Pd: 0.7500 0.9379 0.3969

(3)
Below is a relaxed SrSb4Pd4 crystal, with properties calculated at the PBE level.

Calculated values
V: 441.0 Å³/cell
VASP energy: -4.79 eV per atom
size of the total moment: 0.000 μB per atom

Lattice parameters (Å, degrees): 9.0199 9.0199 5.4208 90.00 90.00 90.00
Fractional coordinates of all 18 atoms:
Sr: 0.2500 0.2500 0.2500
Sr: 0.7500 0.7500 0.7500
Sb: 0.1042 0.8775 0.6579
Sb: 0.1225 0.6042 0.1578
Sb: 0.3775 0.8958 0.1578
Sb: 0.3958 0.6225 0.6579
Sb: 0.6042 0.3775 0.3422
Sb: 0.6225 0.1042 0.8422
Sb: 0.8775 0.3958 0.8422
Sb: 0.8958 0.1225 0.3422
Pd: 0.0529 0.8891 0.1611
Pd: 0.1109 0.5529 0.6611
Pd: 0.3891 0.9471 0.6611
Pd: 0.4471 0.6109 0.1611
Pd: 0.5529 0.3891 0.8389
Pd: 0.6109 0.0529 0.3389
Pd: 0.8891 0.4471 0.3389
Pd: 0.9471 0.1109 0.8389

(4)
Below is a relaxed SrSb3Pd crystal, with properties calculated at the PBE level.

Calculated values
V: 547.0 Å³/cell
VASP energy: -4.40 eV per atom
size of the total moment: 0.000 μB per atom

Lattice parameters (Å, degrees): 14.0455 6.3181 6.1643 90.00 90.00 90.00
Fractional coordinates of all 20 atoms:
Sr: 0.1928 0.0094 0.2500
Sr: 0.1928 0.4906 0.7500
Sr: 0.8072 0.5094 0.2500
Sr: 0.8072 0.9906 0.7500
Sb: 0.9996 0.2500 0.0000
Sb: 0.9996 0.2500 0.5000
Sb: 0.0004 0.7500 0.0000
Sb: 0.0004 0.7500 0.5000
Sb: 0.2968 0.5251 0.2500
Sb: 0.2968 0.9749 0.7500
Sb: 0.4406 0.6120 0.7500
Sb: 0.4406 0.8880 0.2500
Sb: 0.5594 0.1120 0.7500
Sb: 0.5594 0.3880 0.2500
Sb: 0.7032 0.0251 0.2500
Sb: 0.7032 0.4749 0.7500
Pd: 0.4056 0.2500 0.0000
Pd: 0.4056 0.2500 0.5000
Pd: 0.5944 0.7500 0.0000
Pd: 0.5944 0.7500 0.5000